DFT (PBE) results for BePO2 after structural relaxation.

Cell: 2.6053 2.6053 15.8701 Å, 90.00 90.00 120.00°
Positions (direct):
Be  0.0000  0.0000  0.0000
Be  0.3333  0.6667  0.6667
Be  0.6667  0.3333  0.3333
P  0.0000  0.0000  0.5000
P  0.3333  0.6667  0.1667
P  0.6667  0.3333  0.8333
O  0.0000  0.0000  0.3939
O  0.0000  0.0000  0.6061
O  0.3333  0.6667  0.0606
O  0.3333  0.6667  0.2728
O  0.6667  0.3333  0.7272
O  0.6667  0.3333  0.9394

Energy = -75.7 eV per cell

---

DFT (PBE) results for BeP2O6 after structural relaxation.

Cell: 7.1837 7.1837 9.0700 Å, 90.00 90.00 90.95°
Positions (direct):
Be  0.1399  0.3320  0.2115
Be  0.3320  0.1399  0.7885
Be  0.6680  0.8601  0.2885
Be  0.8601  0.6680  0.7115
P  0.0865  0.9135  0.2500
P  0.1487  0.6116  0.4648
P  0.3884  0.8513  0.0352
P  0.4386  0.4386  0.0000
P  0.5614  0.5614  0.5000
P  0.6116  0.1487  0.5352
P  0.8513  0.3884  0.9648
P  0.9135  0.0865  0.7500
O  0.0165  0.6345  0.5888
O  0.1039  0.4641  0.3540
O  0.1141  0.1421  0.7375
O  0.1421  0.1141  0.2625
O  0.1827  0.8122  0.3882
O  0.1878  0.8173  0.1118
O  0.3398  0.3906  0.1403
O  0.3461  0.5801  0.5405
O  0.3655  0.9835  0.9112
O  0.3906  0.3398  0.8597
O  0.4199  0.6539  0.9595
O  0.4641  0.1039  0.6460
O  0.5359  0.8961  0.1460
O  0.5801  0.3461  0.4595
O  0.6094  0.6602  0.3597
O  0.6345  0.0165  0.4112
O  0.6539  0.4199  0.0405
O  0.6602  0.6094  0.6403
O  0.8122  0.1827  0.6118
O  0.8173  0.1878  0.8882
O  0.8579  0.8859  0.7625
O  0.8859  0.8579  0.2375
O  0.8961  0.5359  0.8540
O  0.9835  0.3655  0.0888

Energy = -260.5 eV per cell

---

DFT (PBE) results for BePO2 after structural relaxation.

Cell: 5.2532 5.2532 5.2532 Å, 90.00 90.00 90.00°
Positions (direct):
Be  0.0000  0.0000  0.0000
Be  0.0000  0.5000  0.5000
Be  0.5000  0.0000  0.5000
Be  0.5000  0.5000  0.0000
P  0.0000  0.0000  0.5000
P  0.0000  0.5000  0.0000
P  0.5000  0.0000  0.0000
P  0.5000  0.5000  0.5000
O  0.2500  0.2500  0.2500
O  0.2500  0.2500  0.7500
O  0.2500  0.7500  0.2500
O  0.2500  0.7500  0.7500
O  0.7500  0.2500  0.2500
O  0.7500  0.2500  0.7500
O  0.7500  0.7500  0.2500
O  0.7500  0.7500  0.7500

Energy = -75.4 eV per cell

---

DFT (PBE) results for BeP2O6 after structural relaxation.

Cell: 7.1945 7.1945 4.8016 Å, 108.53 108.53 93.14°
Positions (direct):
Be  0.2193  0.7807  0.7500
Be  0.7807  0.2193  0.2500
P  0.1802  0.3594  0.6776
P  0.3594  0.1802  0.1776
P  0.6406  0.8198  0.8224
P  0.8198  0.6406  0.3224
O  0.0214  0.7676  0.4534
O  0.1968  0.5794  0.8343
O  0.2324  0.9786  0.0466
O  0.2779  0.3343  0.4124
O  0.3343  0.2779  0.9124
O  0.4206  0.8032  0.6657
O  0.5794  0.1968  0.3343
O  0.6657  0.7221  0.0876
O  0.7221  0.6657  0.5876
O  0.7676  0.0214  0.9534
O  0.8032  0.4206  0.1657
O  0.9786  0.2324  0.5466

Energy = -129.8 eV per cell

---

DFT (PBE) results for PaBe2PO8 after structural relaxation.

Cell: 4.8768 4.8768 6.0293 Å, 90.00 90.00 120.00°
Positions (direct):
Pa  0.0000  0.0000  0.0000
Be  0.3333  0.6667  0.2577
Be  0.6667  0.3333  0.7423
P  0.0000  0.0000  0.5000
O  0.1538  0.3075  0.3252
O  0.1538  0.8462  0.3252
O  0.3075  0.1538  0.6748
O  0.3333  0.6667  0.9894
O  0.6667  0.3333  0.0106
O  0.6925  0.8462  0.3252
O  0.8462  0.1538  0.6748
O  0.8462  0.6925  0.6748

Energy = -87.4 eV per cell

---

DFT (PBE) results for Be2P2PbO8 after structural relaxation.

Cell: 8.1263 9.1292 8.5948 Å, 90.00 90.17 90.00°
Positions (direct):
Be  0.0706  0.0837  0.2770
Be  0.0706  0.4163  0.7770
Be  0.4258  0.6928  0.9333
Be  0.4258  0.8072  0.4333
Be  0.5742  0.1928  0.5667
Be  0.5742  0.3072  0.0667
Be  0.9294  0.5837  0.2230
Be  0.9294  0.9163  0.7230
P  0.0648  0.6957  0.9302
P  0.0648  0.8043  0.4302
P  0.4374  0.0879  0.2720
P  0.4374  0.4121  0.7720
P  0.5626  0.5879  0.2280
P  0.5626  0.9121  0.7280
P  0.9352  0.1957  0.5698
P  0.9352  0.3043  0.0698
Pb  0.2444  0.0899  0.8973
Pb  0.2444  0.4101  0.3973
Pb  0.7556  0.5899  0.6027
Pb  0.7556  0.9101  0.1027
O  0.0118  0.5844  0.8020
O  0.0118  0.9156  0.3020
O  0.0461  0.6454  0.3653
O  0.0461  0.8546  0.8653
O  0.0595  0.1832  0.4325
O  0.0595  0.3168  0.9325
O  0.2395  0.6671  0.9872
O  0.2395  0.8329  0.4872
O  0.2584  0.0979  0.2062
O  0.2584  0.4021  0.7062
O  0.4460  0.1872  0.4173
O  0.4460  0.3128  0.9173
O  0.4473  0.6416  0.3601
O  0.4473  0.8584  0.8601
O  0.4906  0.5705  0.8072
O  0.4906  0.9295  0.3072
O  0.5094  0.0705  0.6928
O  0.5094  0.4295  0.1928
O  0.5527  0.1416  0.1399
O  0.5527  0.3584  0.6399
O  0.5540  0.6872  0.0827
O  0.5540  0.8128  0.5827
O  0.7416  0.5979  0.2938
O  0.7416  0.9021  0.7938
O  0.7605  0.1671  0.5128
O  0.7605  0.3329  0.0128
O  0.9405  0.6832  0.0675
O  0.9405  0.8168  0.5675
O  0.9539  0.1454  0.1347
O  0.9539  0.3546  0.6347
O  0.9882  0.0844  0.6980
O  0.9882  0.4156  0.1980

Energy = -369.4 eV per cell

---

DFT (PBE) results for Be2PPbO6 after structural relaxation.

Cell: 7.0760 7.0760 5.2979 Å, 105.44 105.44 98.39°
Positions (direct):
Be  0.1550  0.3147  0.3580
Be  0.3147  0.1550  0.8580
Be  0.6853  0.8450  0.1420
Be  0.8450  0.6853  0.6420
P  0.2994  0.7006  0.7500
P  0.7006  0.2994  0.2500
Pb  0.1198  0.8802  0.2500
Pb  0.8802  0.1198  0.7500
O  0.0877  0.6625  0.7954
O  0.1554  0.1889  0.5795
O  0.1889  0.1554  0.0795
O  0.2894  0.5408  0.4848
O  0.3375  0.9123  0.7046
O  0.4592  0.7106  0.0152
O  0.5408  0.2894  0.9848
O  0.6625  0.0877  0.2954
O  0.7106  0.4592  0.5152
O  0.8111  0.8446  0.9205
O  0.8446  0.8111  0.4205
O  0.9123  0.3375  0.2046

Energy = -133.9 eV per cell

---

DFT (PBE) results for BePPbO2 after structural relaxation.

Cell: 3.7418 3.7418 4.9413 Å, 90.00 90.00 90.00°
Positions (direct):
Be  0.0000  0.0000  0.0000
P  0.0000  0.0000  0.5000
Pb  0.5000  0.5000  0.5000
O  0.0000  0.5000  0.0000
O  0.5000  0.0000  0.0000

Energy = -23.9 eV per cell

---

Which ΔE_f (raw) belongs to each record? In order, -1.5491; -2.3135; 0.0509; -2.2910; -2.1174; -2.3614; -2.0636; -0.2314 eV/atom.